CaUSn2: optimized geometry, PBE.

Lattice parameters (Å, degrees): 3.3765 3.3765 9.2744 90.00 90.00 90.00
Atoms (fractional coordinates):
Ca (0.0000, 0.0000, 0.0000)
U (0.0000, 0.0000, 0.5000)
Sn (0.5000, 0.5000, 0.2516)
Sn (0.5000, 0.5000, 0.7484)

Fermi-level density of states ... 1.554 states/eV/atom
ΔE_f ... -269 meV/atom

CaUSn2: optimized geometry, PBE.

Lattice parameters (Å, degrees): 5.8063 5.8063 3.1403 90.00 90.00 90.00
Atoms (fractional coordinates):
Ca (0.0000, 0.0000, 0.0000)
U (0.5000, 0.5000, 0.0000)
Sn (0.0000, 0.5000, 0.5000)
Sn (0.5000, 0.0000, 0.5000)

Fermi-level density of states ... 1.719 states/eV/atom
ΔE_f ... -222 meV/atom